[1]
Density functional theory data (PBE) for a relaxed La2MnAu crystal.

Lattice parameters (Å, degrees): 8.5835 8.5835 8.5835 26.88 26.88 26.88
With the nearest neighbours (Å) after each atom.
Atoms (fractional coordinates):
La (0.5018, 0.5018, 0.5018)  3 Mn 3.07, 3 Au 3.12
La (0.9982, 0.9982, 0.9982)  3 Mn 3.07, 3 Au 3.12
Au (0.7500, 0.7500, 0.7500)  6 La 3.12
Mn (0.2500, 0.2500, 0.2500)  6 La 3.07

Computed properties:
* space group: R-3m, No. 166


[2]
Density functional theory data (PBE) for a relaxed LaMnAu2 crystal.

Lattice parameters (Å, degrees): 7.8395 4.8368 3.8255 90.00 60.79 128.13
With the nearest neighbours (Å) after each atom.
Atoms (fractional coordinates):
Au (0.5000, 0.0000, 0.5000)  4 Mn 3.08, 4 La 3.08, 4 Au 3.42
Au (0.0000, 0.0000, 0.0000)  4 La 3.08, 4 Mn 3.08, 4 Au 3.42
Mn (0.5000, 0.5000, 0.0000)  8 Au 3.08, 4 La 3.42
La (0.0000, 0.5000, 0.5000)  8 Au 3.08, 4 Mn 3.42

Computed properties:
* space group: P4/mmm, No. 123


[3]
Density functional theory data (PBE) for a relaxed LaMnAu2 crystal.

Lattice parameters (Å, degrees): 4.8389 3.7910 5.2362 84.15 90.00 90.00
With the nearest neighbours (Å) after each atom.
Atoms (fractional coordinates):
Mn (0.5000, 0.9107, 0.7893)  4 Au 2.64-2.68
La (0.0000, 0.5080, 0.4653)  7 Au 3.03-3.34
Au (0.5000, 0.0536, 0.2800)  2 Mn 2.67-2.68, 2 Au 2.93
Au (0.0000, 0.0277, 0.9654)  2 Mn 2.64, 2 Au 2.93

Computed properties:
* space group: Pm, No. 6


[4]
Density functional theory data (PBE) for a relaxed La2MnAu crystal.

Lattice parameters (Å, degrees): 4.7632 3.9838 6.0402 70.96 90.00 90.00
With the nearest neighbours (Å) after each atom.
Atoms (fractional coordinates):
La (0.0000, 0.9796, 0.9171)  3 Mn 3.19-3.22, 4 Au 3.22-3.23
La (0.5000, 0.2681, 0.3373)  3 Au 3.15-3.27, 4 Mn 3.21
Au (0.5000, 0.5556, 0.7652)  2 Mn 2.88, 6 La 3.15-3.23
Mn (0.0000, 0.6966, 0.4805)  2 Au 2.88, 7 La 3.19-3.22

Computed properties:
* space group: Pm, No. 6


The evaluated mass density for the records listed, in turn: 7.71 10.91 10.21 8.12 g/cm³.
The evaluated ΔE_f for the records listed, in turn: -44 -249 -292 -256 meV/atom.